(1)
Below is NbFeSbI2 at its PBEsol-relaxed geometry, with properties calculated at the SCAN level.

Computed properties:
Electronic total energy ... -157.8 eV/f.u.
Total magnetization ... 5.1 μB per cell

Unit cell a=5.3931 b=5.3931 c=5.4697 alpha=90.00 beta=90.00 gamma=90.00
Space group P4/mmm (No. 123)
Inequivalent atoms, fractional coordinates:
1 Nb 0.0000 0.0000 0.0000
2 Fe 0.5000 0.5000 0.5000
3 Sb 0.0000 0.0000 0.5000
4 I 0.0000 0.5000 0.0000

(2)
Below is CaTc at its PBEsol-relaxed geometry, with properties calculated at the SCAN level.

Computed properties:
Energy above the most stable polymorph in this dataset ... 0.606 eV/atom
Total magnetization ... 0.0 μB per cell
ΔH_f (0 K) ... 771 meV per atom

Unit cell a=2.7301 b=2.7301 c=4.9304 alpha=90.00 beta=90.00 gamma=90.00
Space group P4/mmm (No. 123)
Inequivalent atoms, fractional coordinates:
1 Ca 0.0000 0.0000 0.0000
2 Tc 0.5000 0.5000 0.5000